The following is a PBE-GGA calculation of a geometry-optimized ErBeBi structure, from the Alexandria database.

Structure (POSCAR):
```
ErBeBi
1.0
4.2881 0.0000 0.0000
0.0000 4.5295 -0.3768
-2.1440 -1.6488 7.5444
Be Bi Er
2 2 2
Cartesian
0.0000 3.6728 2.9680
2.1440 -0.7920 4.1997
0.0000 1.2657 1.4826
2.1440 1.6151 5.6851
0.0000 -0.6311 6.0945
2.1440 3.5119 1.0732
```

Properties
Space group: C2/m (12)
D(E_F): 1.574 states/eV per cell
V: 24.0 A^3/atom
Electronic total energy: -25.17 eV/cell
Total magnetization: 0.00 μB per cell



The following is a PBE-GGA calculation of a geometry-optimized Be2BiF structure, from the Alexandria database.

Structure (POSCAR):
```
Be2BiF
1.0
-2.1344 -0.6113 -4.0164
3.1627 -3.0977 -1.2093
-2.6492 -5.9859 -0.3030
Be Bi F
4 2 2
Cartesian
-1.6506 -7.1830 -4.5843
0.6673 -3.6179 -2.0491
-1.0379 -6.4322 -2.4023
-1.2207 -2.1568 -2.0216
0.0000 0.0000 0.0000
-2.1347 -4.2258 -3.4661
0.5138 -5.4691 -2.0626
0.5141 -1.8545 -2.6128
```

Properties
Space group: I-42d (122)
D(E_F): 0.549 states/eV per cell
V: 15.0 A^3/atom
ΔE_f (raw): -0.41 eV per atom
Energy above the lowest structure with this stoichiometry: 0.000 eV per atom
Total magnetization: 0.00 μB per cell



The following is a PBE-GGA calculation of a geometry-optimized BeBi3F structure, from the Alexandria database.

Structure (POSCAR):
```
BeBi3F
1.0
-1.9182 -1.2936 -4.4763
4.2775 -2.4083 -1.1370
-1.8475 -4.2328 2.0150
Bi F Be
3 1 1
Cartesian
-0.9238 -2.1164 1.0075
2.1388 -1.2042 -0.5685
-0.9591 -0.6468 -2.2381
0.2559 -3.9674 -1.7992
0.0000 0.0000 0.0000
```

Properties
Space group: Pm-3m (221)
D(E_F): 3.857 states/eV per cell
V: 25.6 A^3/atom
ΔE_f (raw): 0.07 eV per atom
Energy above the lowest structure with this stoichiometry: 0.000 eV per atom
Total magnetization: 0.00 μB per cell



The following is a PBE-GGA calculation of a geometry-optimized Be2BiF8 structure, from the Alexandria database.

Structure (POSCAR):
```
Be2BiF8
1.0
-4.6664 -2.4614 1.3211
2.1301 -2.9980 -4.1456
3.9341 -3.8509 0.6369
F Be Bi
8 2 1
Cartesian
-0.7587 -2.0922 -0.0870
1.7594 -3.3347 0.2687
2.1565 -7.2180 -2.1007
-0.3616 -5.9755 -2.4563
0.6195 -6.4394 0.1449
0.7783 -2.8708 -2.3326
2.8779 -4.8450 -1.9495
-1.4800 -4.4652 -0.2381
3.3614 -6.2061 -2.3747
-1.9636 -3.1042 0.1870
0.0000 0.0000 0.0000
```

Properties
Space group: C2/m (12)
D(E_F): 4.641 states/eV per cell
V: 12.0 A^3/atom
ΔE_f (raw): -2.52 eV per atom
Total magnetization: 0.51 μB per cell



The following is a PBE-GGA calculation of a geometry-optimized Be2BiF structure, from the Alexandria database.

Structure (POSCAR):
```
Be2BiF
1.0
-0.2902 -4.0505 1.6001
-1.3811 -0.6366 4.0913
-3.9167 -1.7832 0.7286
Be F Bi
2 1 1
Cartesian
-4.1910 -4.8527 4.8150
-1.3970 -1.6176 1.6050
0.0000 0.0000 0.0000
-2.7940 -3.2352 3.2100
```

Properties
Space group: Fm-3m (225)
D(E_F): 0.266 states/eV per cell
V: 14.7 A^3/atom
ΔE_f (raw): 0.05 eV per atom
Energy above the lowest structure with this stoichiometry: 0.466 eV per atom
Total magnetization: 0.00 μB per cell



The following is a PBE-GGA calculation of a geometry-optimized BeBiF5 structure, from the Alexandria database.

Structure (POSCAR):
```
BeBiF5
1.0
5.2756 0.1960 -2.1571
-0.6195 5.2434 -2.1557
-0.0430 -0.0491 8.6325
F Bi Be
10 2 2
Cartesian
0.5437 3.5548 1.0351
4.0694 1.8355 3.2845
2.0776 0.5542 1.0795
3.5855 3.9173 -2.3626
2.5355 4.8361 3.2401
1.0276 1.4730 6.6823
4.1536 1.8063 -1.0300
0.9674 1.4014 4.1103
0.4595 3.5840 5.3496
3.6457 3.9889 0.2094
2.6163 0.0735 3.2377
2.6378 0.0980 -1.0786
0.3052 2.0304 5.3960
4.3079 3.3599 -1.0764
```

Properties
Space group: C2/c (15)
D(E_F): 0.000 states/eV per cell
V: 17.1 A^3/atom
ΔE_f (raw): -2.78 eV per atom
Total magnetization: 0.00 μB per cell



The following is a PBE-GGA calculation of a geometry-optimized BeBiNF2 structure, from the Alexandria database.

Structure (POSCAR):
```
BeBiNF2
1.0
-2.8151 -0.4984 -2.0576
2.1038 -1.0422 -2.6258
-0.3007 -4.2174 1.4330
Be Bi F N
1 1 2 1
Cartesian
0.0000 0.0000 0.0000
-0.5060 -2.8790 -1.6252
-1.4075 -0.2492 -1.0288
1.0519 -0.5211 -1.3129
-0.1504 -2.1087 0.7165
```

Properties
Space group: P4/mmm (123)
D(E_F): 0.508 states/eV per cell
V: 11.1 A^3/atom
ΔE_f (raw): -1.20 eV per atom
Energy above the lowest structure with this stoichiometry: 0.000 eV per atom
Total magnetization: 0.00 μB per cell



The following is a PBE-GGA calculation of a geometry-optimized BeBiNF2 structure, from the Alexandria database.

Structure (POSCAR):
```
BeBiNF2
1.0
4.4652 0.0000 0.0000
0.0000 4.4652 0.0000
0.0000 0.0000 4.5596
Be Bi F N
1 1 2 1
Cartesian
2.2326 2.2326 2.2798
0.0000 0.0000 0.0000
0.0000 2.2326 0.0000
2.2326 0.0000 0.0000
0.0000 0.0000 2.2798
```

Properties
Space group: P4/mmm (123)
D(E_F): 2.860 states/eV per cell
V: 18.2 A^3/atom
ΔE_f (raw): 0.03 eV per atom
Energy above the lowest structure with this stoichiometry: 1.225 eV per atom
Total magnetization: 0.00 μB per cell



The following is a PBE-GGA calculation of a geometry-optimized BeBiO2F structure, from the Alexandria database.

Structure (POSCAR):
```
BeBiO2F
1.0
-1.8214 0.8842 -3.2202
-3.0021 -2.0401 1.1378
-1.3311 2.8088 1.5242
F O Bi Be
1 2 1 1
Cartesian
-0.6655 1.4044 0.7621
-0.9107 0.4421 -1.6101
-1.5010 -1.0200 0.5689
-3.0773 0.8265 -0.2791
0.0000 0.0000 0.0000
```

Properties
Space group: P4/mmm (123)
V: 10.0 A^3/atom
ΔE_f (raw): -1.78 eV per atom
Total magnetization: 0.00 μB per cell



The following is a PBE-GGA calculation of a geometry-optimized BeBiO2F structure, from the Alexandria database.

Structure (POSCAR):
```
BeBiO2F
1.0
-1.1714 -3.5254 -2.2872
-0.2950 -2.2996 3.6955
-4.2694 1.1682 0.3861
F Be O Bi
1 1 2 1
Cartesian
-2.1347 0.5841 0.1930
-2.8679 -2.3284 0.8972
-0.5857 -1.7627 -1.1436
-0.1475 -1.1498 1.8477
0.0000 0.0000 0.0000
```

Properties
Space group: P4/mmm (123)
D(E_F): 2.668 states/eV per cell
V: 16.9 A^3/atom
ΔE_f (raw): -0.33 eV per atom
Total magnetization: 0.00 μB per cell



The following is a PBE-GGA calculation of a geometry-optimized BeBiOF2 structure, from the Alexandria database.

Structure (POSCAR):
```
BeBiOF2
1.0
4.5900 0.0000 0.0000
0.0000 4.5900 0.0000
0.0000 0.0000 4.4433
F Be O Bi
2 1 1 1
Cartesian
0.0000 2.2950 0.0000
2.2950 0.0000 0.0000
2.2950 2.2950 2.2217
0.0000 0.0000 2.2217
0.0000 0.0000 0.0000
```

Properties
Space group: P4/mmm (123)
D(E_F): 1.134 states/eV per cell
V: 18.7 A^3/atom
ΔE_f (raw): -0.77 eV per atom
Energy above the lowest structure with this stoichiometry: 1.047 eV per atom
Total magnetization: 0.83 μB per cell



The following is a PBE-GGA calculation of a geometry-optimized BeBiOF2 structure, from the Alexandria database.

Structure (POSCAR):
```
BeBiOF2
1.0
-3.4271 -2.4472 -1.1141
2.6211 -3.4431 -0.4997
-0.4273 -0.7575 2.9782
Bi Be F O
1 1 2 1
Cartesian
-0.6167 -3.3239 0.6822
0.0000 0.0000 0.0000
-1.7135 -1.2236 -0.5571
1.3105 -1.7216 -0.2499
-0.2136 -0.3788 1.4891
```

Properties
Space group: P4/mmm (123)
D(E_F): 1.453 states/eV per cell
V: 11.8 A^3/atom
ΔE_f (raw): -1.82 eV per atom
Energy above the lowest structure with this stoichiometry: 0.000 eV per atom
Total magnetization: 0.00 μB per cell



The following is a PBE-GGA calculation of a geometry-optimized Be2BiRhF structure, from the Alexandria database.

Structure (POSCAR):
```
Be2BiRhF
1.0
4.6758 0.0000 0.0000
0.0000 5.1963 0.0000
0.0000 0.0000 4.6758
Bi Be Rh F
1 2 1 1
Cartesian
0.0000 0.0000 0.0000
0.0000 0.0000 2.3379
2.3379 0.0000 0.0000
0.0000 2.5981 0.0000
2.3379 2.5981 2.3379
```

Properties
Space group: P4/mmm (123)
D(E_F): 1.630 states/eV per cell
V: 22.7 A^3/atom
ΔE_f (raw): 1.03 eV per atom
Total magnetization: 1.11 μB per cell



The following is a PBE-GGA calculation of a geometry-optimized BeBiTe2F structure, from the Alexandria database.

Structure (POSCAR):
```
BeBiTe2F
1.0
-3.3722 -1.2776 -3.2338
3.6589 -2.3596 -2.8832
-0.7559 -4.1278 2.4190
Be Bi F Te
1 1 1 2
Cartesian
0.0000 0.0000 0.0000
1.8294 -1.1798 -1.4416
-0.2346 -3.8825 -1.8490
-0.3779 -2.0639 1.2095
-1.6861 -0.6388 -1.6169
```

Properties
Space group: P4/mmm (123)
D(E_F): 2.369 states/eV per cell
V: 24.5 A^3/atom
ΔE_f (raw): 0.01 eV per atom
Total magnetization: 0.00 μB per cell



The following is a PBE-GGA calculation of a geometry-optimized BeZnBi2F structure, from the Alexandria database.

Structure (POSCAR):
```
BeZnBi2F
1.0
-4.4963 -0.4494 -2.8604
1.5467 -3.3907 -1.8986
-2.1148 -3.0988 3.8112
Zn Bi F Be
1 2 1 1
Cartesian
0.0000 0.0000 0.0000
-1.0574 -1.5494 1.9056
-2.2482 -0.2247 -1.4302
-2.5322 -3.4694 -0.4739
0.7733 -1.6954 -0.9493
```

Properties
Space group: P4/mmm (123)
D(E_F): 1.990 states/eV per cell
V: 23.9 A^3/atom
ΔE_f (raw): 0.23 eV per atom
Total magnetization: 0.00 μB per cell



The following is a PBE-GGA calculation of a geometry-optimized BeFe3Bi structure, from the Alexandria database.

Structure (POSCAR):
```
BeFe3Bi
1.0
4.1518 0.0000 0.0000
0.0000 4.1518 0.0000
0.0000 0.0000 4.1518
Fe Bi Be
3 1 1
Cartesian
0.0000 2.0759 0.0000
2.0759 0.0000 0.0000
0.0000 0.0000 2.0759
2.0759 2.0759 2.0759
0.0000 0.0000 0.0000
```

Properties
Space group: Pm-3m (221)
D(E_F): 5.461 states/eV per cell
V: 14.3 A^3/atom
Energy above the lowest structure with this stoichiometry: 0.000 eV per atom
Total magnetization: 6.91 μB per cell



The following is a PBE-GGA calculation of a geometry-optimized BeFeBi2 structure, from the Alexandria database.

Structure (POSCAR):
```
BeFeBi2
1.0
5.8936 0.0000 0.0000
0.0000 5.8936 0.0000
2.9468 2.9468 5.8879
Bi Be Fe
4 2 2
Cartesian
7.3670 7.3690 4.4159
1.4714 4.4202 1.4720
4.4222 1.4734 1.4720
4.4202 4.4182 4.4159
2.9468 2.9468 0.0000
2.9468 5.8936 2.9439
5.8936 2.9468 2.9439
0.0000 0.0000 0.0000
```

Properties
Space group: I-42d (122)
D(E_F): 8.675 states/eV per cell
V: 25.6 A^3/atom
Electronic total energy: -33.35 eV/cell
Total magnetization: 0.00 μB per cell



The following is a PBE-GGA calculation of a geometry-optimized Be2FeBi structure, from the Alexandria database.

Structure (POSCAR):
```
Be2FeBi
1.0
3.9693 0.0000 0.0000
0.0000 3.9693 0.0000
1.9846 1.9846 7.8533
Bi Fe Be
2 2 4
Cartesian
3.9693 1.9846 3.9267
0.0000 0.0000 0.0000
1.9846 3.9693 3.9267
1.9846 1.9846 0.0000
2.1765 0.9923 1.9633
2.9769 3.7774 5.8900
1.7928 2.9769 1.9633
4.9616 4.1611 5.8900
```

Properties
Space group: I-42d (122)
D(E_F): 8.986 states/eV per cell
V: 15.5 A^3/atom
Electronic total energy: -34.29 eV/cell
Total magnetization: 0.00 μB per cell



The following is a PBE-GGA calculation of a geometry-optimized BeFe2Bi structure, from the Alexandria database.

Structure (POSCAR):
```
BeFe2Bi
1.0
0.0000 2.9708 2.9708
2.9708 0.0000 2.9708
2.9708 2.9708 0.0000
Fe Be Bi
2 1 1
Cartesian
1.4854 1.4854 1.4854
4.4562 4.4562 4.4562
0.0000 0.0000 0.0000
2.9708 2.9708 2.9708
```

Properties
Space group: Fm-3m (225)
D(E_F): 5.344 states/eV per cell
V: 13.1 A^3/atom
Energy above the lowest structure with this stoichiometry: 0.000 eV per atom
Total magnetization: 0.00 μB per cell



The following is a PBE-GGA calculation of a geometry-optimized BeFeBi3 structure, from the Alexandria database.

Structure (POSCAR):
```
BeFeBi3
1.0
5.0712 0.0000 0.0000
0.0000 5.0712 0.0000
0.0000 0.0000 5.0712
Bi Be Fe
3 1 1
Cartesian
0.0000 0.0000 2.5356
2.5356 0.0000 0.0000
0.0000 2.5356 0.0000
0.0000 0.0000 0.0000
2.5356 2.5356 2.5356
```

Properties
Space group: Pm-3m (221)
D(E_F): 8.378 states/eV per cell
V: 26.1 A^3/atom
Energy above the lowest structure with this stoichiometry: 0.053 eV per atom
Total magnetization: 2.91 μB per cell